A plane-wave DFT calculation with PBE was carried out for a relaxed structure of Ce2TiAs.

Unit cell a=9.431 b=9.431 c=9.431 alpha=22.25 beta=22.25 gamma=22.25
Element x y z (fractional)
Ce1 0.096 0.096 0.096
Ce2 0.904 0.904 0.904
Ti1 0.000 0.000 0.000
As1 0.500 0.500 0.500

Energy of formation (eV per atom): -0.004
Crystal system: trigonal
Uncorrected energy (eV per atom): -6.107
Symmetry: R-3m